CaPrPtAu, optimized geometry, DFT PBE; calculated formation energy = -0.884 eV per atom; uncorrected energy = -4.9093 eV/atom; relative energy among the computed polymorphs = 0.0427 eV per atom; Fermi-level density of states = 0.72 states/eV/atom; crystal system = cubic
1.0
-1.128 -0.411 -4.988
1.390 -4.195 -2.608
-3.561 -3.349 -1.558
Pt Pr Ca Au
1 1 1 1
direct
0.500 0.500 0.500 Pt
0.750 0.750 0.750 Pr
0.250 0.250 0.250 Ca
0.000 0.000 0.000 Au